No. 1
First-principles (PBE) data for a relaxed structure of TmIn2TcO8, as listed in Alexandria via LeMat-Bulk.

a = 4.965 Å, b = 4.963 Å, c = 6.503 Å
α = 90.00°, β = 90.00°, γ = 91.58°
Fractional positions:
1 O 0.694 0.695 0.500
2 In 0.500 0.500 0.251
3 O 0.306 0.305 0.500
4 In 0.500 0.500 0.749
5 O 0.819 0.182 0.211
6 O 0.819 0.182 0.789
7 O 0.181 0.818 0.211
8 O 0.285 0.285 0.000
9 O 0.181 0.818 0.789
10 Tm 0.000 0.000 0.500
11 Tc 0.000 0.000 0.000
12 O 0.715 0.715 0.000

Computed properties:
Uncorrected formation energy, eV per formula unit: -21.5
Space group: No. 65
Raw total energy, eV per atom: -6.79


No. 2
First-principles (PBE) data for a relaxed structure of Pm5Dy3Te8, as listed in Alexandria via LeMat-Bulk.

a = 8.830 Å, b = 8.830 Å, c = 8.871 Å
α = 60.15°, β = 60.15°, γ = 60.00°
Fractional positions:
1 Pm 0.500 0.500 0.500
2 Pm 0.000 0.500 0.000
3 Dy 0.500 0.000 0.500
4 Te 0.753 0.753 0.740
5 Dy 0.000 0.500 0.500
6 Te 0.250 0.757 0.743
7 Pm 0.500 0.000 0.000
8 Te 0.750 0.750 0.257
9 Te 0.250 0.250 0.743
10 Pm 0.000 0.000 0.000
11 Dy 0.000 0.000 0.500
12 Te 0.750 0.243 0.257
13 Te 0.757 0.250 0.743
14 Te 0.243 0.750 0.257
15 Te 0.247 0.247 0.260
16 Pm 0.500 0.500 0.000

Computed properties:
Uncorrected formation energy, eV per formula unit: -21.7
Space group: No. 166
Raw total energy, eV per atom: -5.27


No. 3
First-principles (PBE) data for a relaxed structure of Er3BSe2, as listed in Alexandria via LeMat-Bulk.

a = 6.892 Å, b = 6.892 Å, c = 12.436 Å
α = 100.78°, β = 100.78°, γ = 108.97°
Fractional positions:
1 Se 0.254 0.254 0.508
2 Er 0.091 0.058 0.680
3 B 0.334 0.834 0.668
4 Er 0.036 0.536 0.500
5 Er 0.589 0.622 0.680
6 Se 0.671 0.171 0.341
7 Er 0.464 0.964 0.500
8 Er 0.214 0.214 0.000
9 Er 0.308 0.841 0.180
10 Er 0.872 0.339 0.180
11 Se 0.996 0.496 0.992
12 Er 0.159 0.692 0.820
13 Er 0.786 0.786 0.000
14 B 0.166 0.666 0.332
15 Se 0.579 0.579 0.159
16 Se 0.504 0.004 0.008
17 B 0.916 0.916 0.832
18 Se 0.746 0.746 0.492
19 Er 0.661 0.128 0.820
20 Er 0.942 0.909 0.320
21 Er 0.378 0.411 0.320
22 Se 0.421 0.421 0.841
23 B 0.084 0.084 0.168
24 Se 0.829 0.329 0.659

Computed properties:
Uncorrected formation energy, eV per formula unit: -7.9
Space group: No. 70
Raw total energy, eV per atom: -5.88


No. 4
First-principles (PBE) data for a relaxed structure of CaBiRuO6, as listed in Alexandria via LeMat-Bulk.

a = 5.525 Å, b = 5.525 Å, c = 9.721 Å
α = 90.00°, β = 90.00°, γ = 120.00°
Last column: magnetic moment on the atom in μB.
Fractional positions:
1 O 0.339 0.960 0.638  0.02
2 O 0.661 0.040 0.362  0.02
3 Ca 0.000 0.000 0.000  0.01
4 O 0.661 0.622 0.138  0.02
5 Bi 0.667 0.333 0.750  0.00
6 O 0.378 0.040 0.138  0.02
7 O 0.040 0.661 0.862  0.02
8 O 0.040 0.378 0.638  0.02
9 Ru 0.667 0.333 0.250  0.77
10 Bi 0.333 0.667 0.250  0.00
11 O 0.960 0.622 0.362  0.02
12 O 0.339 0.378 0.862  0.02
13 Ru 0.333 0.667 0.750  0.77
14 O 0.960 0.339 0.138  0.02
15 Ca 0.000 0.000 0.500  0.01
16 O 0.622 0.661 0.638  0.02
17 O 0.622 0.960 0.862  0.02
18 O 0.378 0.339 0.362  0.02

Computed properties:
Uncorrected formation energy, eV per formula unit: -12.6
Space group: No. 163
Raw total energy, eV per atom: -6.39


No. 5
First-principles (PBE) data for a relaxed structure of Y2Ga4Ni3Ir, as listed in Alexandria via LeMat-Bulk.

a = 4.079 Å, b = 4.079 Å, c = 10.106 Å
α = 90.00°, β = 90.00°, γ = 90.00°
Fractional positions:
1 Ga 0.500 0.500 0.000
2 Ga 0.000 0.500 0.363
3 Y 0.000 0.500 0.752
4 Y 0.500 0.000 0.248
5 Ni 0.500 0.000 0.870
6 Ni 0.000 0.000 0.500
7 Ga 0.000 0.000 0.000
8 Ni 0.000 0.500 0.130
9 Ga 0.500 0.000 0.637
10 Ir 0.500 0.500 0.500

Computed properties:
Energy relative to the elements, eV per atom: -0.625
Space group: No. 115
Raw total energy, eV per atom: -5.75


No. 6
First-principles (PBE) data for a relaxed structure of RbLaB2, as listed in Alexandria via LeMat-Bulk.

a = 4.978 Å, b = 4.978 Å, c = 4.978 Å
α = 60.00°, β = 60.00°, γ = 60.00°
Fractional positions:
1 B 0.750 0.750 0.750
2 La 0.500 0.500 0.500
3 Rb 0.000 0.000 0.000
4 B 0.250 0.250 0.250

Computed properties:
Energy relative to the elements, eV per atom: 1.309
Space group: No. 225
Raw total energy, eV per atom: -3.50


No. 7
First-principles (PBE) data for a relaxed structure of KHgSe4, as listed in Alexandria via LeMat-Bulk.

a = 5.967 Å, b = 5.967 Å, c = 5.967 Å
α = 60.00°, β = 60.00°, γ = 60.00°
Fractional positions:
1 Se 0.378 0.867 0.378
2 Hg 0.750 0.750 0.750
3 Se 0.378 0.378 0.378
4 Se 0.867 0.378 0.378
5 K 0.000 0.000 0.000
6 Se 0.378 0.378 0.867

Computed properties:
Uncorrected formation energy, eV per formula unit: -0.3
Space group: No. 216
Raw total energy, eV per atom: -2.61


No. 8
First-principles (PBE) data for a relaxed structure of Ga2SnMo2, as listed in Alexandria via LeMat-Bulk.

a = 6.923 Å, b = 6.923 Å, c = 3.470 Å
α = 90.00°, β = 90.00°, γ = 90.00°
Fractional positions:
1 Sn 0.000 0.000 0.000
2 Mo 0.826 0.326 0.500
3 Ga 0.125 0.375 0.000
4 Sn 0.500 0.500 0.000
5 Mo 0.674 0.826 0.500
6 Mo 0.326 0.174 0.500
7 Ga 0.625 0.125 0.000
8 Mo 0.174 0.674 0.500
9 Ga 0.375 0.875 0.000
10 Ga 0.875 0.625 0.000

Computed properties:
Energy relative to the elements, eV per atom: 0.241
Space group: No. 127
Raw total energy, eV per atom: -6.10


No. 9
First-principles (PBE) data for a relaxed structure of LaMoAs2, as listed in Alexandria via LeMat-Bulk.

a = 4.022 Å, b = 4.022 Å, c = 7.047 Å
α = 72.32°, β = 72.32°, γ = 56.83°
Last column: magnetic moment on the atom in μB.
Fractional positions:
1 La 0.487 0.487 0.517  0.00
2 As 0.059 0.059 0.804  -0.02
3 As 0.277 0.277 0.197  -0.01
4 Mo 0.677 0.677 0.982  0.83

Computed properties:
Energy relative to the elements, eV per atom: -0.581
Space group: No. 8
Raw total energy, eV per atom: -6.85


No. 10
First-principles (PBE) data for a relaxed structure of Sm2AlS, as listed in Alexandria via LeMat-Bulk.

a = 4.237 Å, b = 4.016 Å, c = 11.786 Å
α = 99.81°, β = 90.00°, γ = 90.00°
Fractional positions:
1 S 0.250 0.193 0.387
2 Al 0.250 0.465 0.929
3 Sm 0.250 0.313 0.626
4 Sm 0.250 0.074 0.148
5 Sm 0.750 0.926 0.852
6 Al 0.750 0.535 0.071
7 Sm 0.750 0.687 0.374
8 S 0.750 0.807 0.613

Computed properties:
Uncorrected formation energy, eV per formula unit: -4.8
Space group: No. 63
Raw total energy, eV per atom: -5.54


No. 11
First-principles (PBE) data for a relaxed structure of FeRe4Br, as listed in Alexandria via LeMat-Bulk.

a = 5.240 Å, b = 5.240 Å, c = 5.240 Å
α = 60.00°, β = 60.00°, γ = 60.00°
Last column: magnetic moment on the atom in μB.
Fractional positions:
1 Br 0.250 0.250 0.250  -0.02
2 Fe 0.000 0.000 0.000  3.03
3 Re 0.625 0.125 0.625  0.00
4 Re 0.625 0.625 0.625  0.00
5 Re 0.625 0.625 0.125  0.00
6 Re 0.125 0.625 0.625  0.00

Computed properties:
Uncorrected formation energy, eV per formula unit: 7.3
Space group: No. 216
Raw total energy, eV per atom: -8.78


No. 12
First-principles (PBE) data for a relaxed structure of RbPdPb4, as listed in Alexandria via LeMat-Bulk.

a = 7.357 Å, b = 6.204 Å, c = 12.321 Å
α = 126.41°, β = 108.68°, γ = 92.29°
Fractional positions:
1 Rb 0.783 0.711 0.002
2 Pb 0.110 0.998 0.397
3 Pb 0.890 0.002 0.603
4 Pb 0.259 0.436 0.346
5 Pb 0.741 0.564 0.654
6 Rb 0.217 0.289 0.998
7 Pb 0.757 0.460 0.249
8 Pd 0.500 0.000 0.500
9 Pd 0.000 0.500 0.500
10 Pb 0.243 0.540 0.751
11 Pb 0.590 0.037 0.304
12 Pb 0.410 0.963 0.696

Computed properties:
Energy relative to the elements, eV per atom: -0.125
Space group: No. 2
Raw total energy, eV per atom: -3.62


No. 13
First-principles (PBE) data for a relaxed structure of RbPuSiO4, as listed in Alexandria via LeMat-Bulk.

a = 5.800 Å, b = 5.802 Å, c = 7.671 Å
α = 90.00°, β = 106.40°, γ = 90.00°
Last column: magnetic moment on the atom in μB.
Fractional positions:
1 O 0.572 0.250 0.451  -0.02
2 O 0.059 0.973 0.319  -0.03
3 O 0.941 0.027 0.681  -0.03
4 Si 0.755 0.250 0.660  0.00
5 Si 0.245 0.750 0.340  0.00
6 Rb 0.306 0.250 0.074  0.00
7 O 0.581 0.250 0.796  -0.01
8 O 0.428 0.750 0.549  -0.02
9 Rb 0.694 0.750 0.926  0.00
10 O 0.059 0.527 0.319  -0.03
11 Pu 0.218 0.250 0.547  4.99
12 O 0.941 0.473 0.681  -0.03
13 O 0.419 0.750 0.204  -0.01
14 Pu 0.782 0.750 0.453  4.99

Computed properties:
Uncorrected formation energy, eV per formula unit: -18.3
Space group: No. 11
Raw total energy, eV per atom: -8.41


No. 14
First-principles (PBE) data for a relaxed structure of ScReSi2, as listed in Alexandria via LeMat-Bulk.

a = 3.311 Å, b = 4.502 Å, c = 4.059 Å
α = 90.00°, β = 90.00°, γ = 90.00°
Fractional positions:
1 Si 0.500 0.500 0.000
2 Si 0.000 0.000 0.000
3 Re 0.500 0.000 0.500
4 Sc 0.000 0.500 0.500

Computed properties:
Uncorrected formation energy, eV per formula unit: -0.8
Space group: No. 47
Raw total energy, eV per atom: -7.60


No. 15
First-principles (PBE) data for a relaxed structure of Ti2AlZn, as listed in Alexandria via LeMat-Bulk.

a = 7.224 Å, b = 7.224 Å, c = 5.733 Å
α = 50.95°, β = 50.95°, γ = 90.00°
Fractional positions:
1 Ti 0.875 0.883 0.750
2 Ti 0.375 0.367 0.750
3 Ti 0.633 0.125 0.250
4 Ti 0.117 0.625 0.250
5 Zn 0.000 0.000 0.000
6 Zn 0.750 0.250 0.500
7 Al 0.250 0.750 0.500
8 Al 0.500 0.500 0.000

Computed properties:
Energy relative to the elements, eV per atom: 0.134
Space group: No. 122
Raw total energy, eV per atom: -5.07


No. 16
First-principles (PBE) data for a relaxed structure of Ho6Ir5Rh, as listed in Alexandria via LeMat-Bulk.

a = 4.730 Å, b = 7.100 Å, c = 8.271 Å
α = 115.42°, β = 106.61°, γ = 90.00°
Fractional positions:
1 Ir 0.000 0.500 0.000
2 Ir 0.667 0.667 0.333
3 Ir 0.333 0.333 0.667
4 Ho 0.167 0.917 0.334
5 Ir 0.666 0.166 0.333
6 Ho 0.500 0.749 0.000
7 Ho 0.833 0.582 0.666
8 Ho 0.500 0.251 0.000
9 Rh 0.000 0.000 0.000
10 Ir 0.334 0.834 0.667
11 Ho 0.167 0.418 0.334
12 Ho 0.833 0.083 0.666

Computed properties:
Energy relative to the elements, eV per atom: -0.866
Space group: No. 71
Raw total energy, eV per atom: -7.46


No. 17
First-principles (PBE) data for a relaxed structure of BaLa2Pb9, as listed in Alexandria via LeMat-Bulk.

a = 5.027 Å, b = 5.027 Å, c = 15.014 Å
α = 90.00°, β = 90.00°, γ = 90.00°
Fractional positions:
1 Ba 0.000 0.000 0.000
2 Pb 0.500 0.500 0.336
3 La 0.000 0.000 0.339
4 Pb 0.000 0.500 0.827
5 Pb 0.000 0.500 0.173
6 Pb 0.500 0.000 0.500
7 Pb 0.000 0.500 0.500
8 Pb 0.500 0.000 0.827
9 La 0.000 0.000 0.661
10 Pb 0.500 0.500 0.664
11 Pb 0.500 0.500 0.000
12 Pb 0.500 0.000 0.173

Computed properties:
Energy relative to the elements, eV per atom: -0.416
Space group: No. 123
Raw total energy, eV per atom: -4.18


No. 18
First-principles (PBE) data for a relaxed structure of AcCo2SiC, as listed in Alexandria via LeMat-Bulk.

a = 4.102 Å, b = 5.807 Å, c = 6.880 Å
α = 90.00°, β = 90.00°, γ = 110.69°
Fractional positions:
1 C 0.000 0.000 0.500
2 Ac 0.439 0.878 0.750
3 Si 0.723 0.446 0.750
4 Co 0.160 0.321 0.942
5 Co 0.160 0.321 0.558
6 Co 0.840 0.679 0.058
7 Ac 0.561 0.122 0.250
8 C 0.000 0.000 0.000
9 Co 0.840 0.679 0.442
10 Si 0.277 0.554 0.250

Computed properties:
Uncorrected formation energy, eV per formula unit: -1.4
Space group: No. 63
Raw total energy, eV per atom: -6.88


No. 19
First-principles (PBE) data for a relaxed structure of SrLiMg2Tl4, as listed in Alexandria via LeMat-Bulk.

a = 5.197 Å, b = 5.197 Å, c = 9.519 Å
α = 74.16°, β = 74.16°, γ = 60.00°
Fractional positions:
1 Tl 0.130 0.130 0.610
2 Mg 0.752 0.752 0.744
3 Tl 0.612 0.612 0.165
4 Mg 0.248 0.248 0.256
5 Sr 0.000 0.000 0.000
6 Tl 0.870 0.870 0.390
7 Li 0.500 0.500 0.500
8 Tl 0.388 0.388 0.835

Computed properties:
Energy relative to the elements, eV per atom: -0.198
Space group: No. 166
Raw total energy, eV per atom: -2.23


No. 20
First-principles (PBE) data for a relaxed structure of Pm6Dy2Ho3Th, as listed in Alexandria via LeMat-Bulk.

a = 6.230 Å, b = 6.230 Å, c = 11.911 Å
α = 95.02°, β = 95.02°, γ = 119.95°
Fractional positions:
1 Ho 0.500 0.500 0.500
2 Pm 0.414 0.084 0.250
3 Pm 0.246 0.246 0.750
4 Pm 0.754 0.754 0.250
5 Th 0.000 0.000 0.000
6 Dy 0.333 0.667 0.000
7 Dy 0.667 0.333 0.000
8 Ho 0.833 0.167 0.500
9 Pm 0.084 0.414 0.250
10 Ho 0.167 0.833 0.500
11 Pm 0.586 0.916 0.750
12 Pm 0.916 0.586 0.750

Computed properties:
Energy relative to the elements, eV per atom: 0.031
Space group: No. 12
Raw total energy, eV per atom: -4.87